Sc2FePb after structural relaxation, computed with PBE.

Cell: 4.3975 3.4446 5.8161 Å, 72.79 90.00 90.00°
Last column: nearest neighbours and their distance in Å.
Element x y z (fractional)
Sc 0.5000 0.2778 0.3192  4 Fe 2.88, 3 Pb 3.02-3.08
Sc 0.0000 0.9537 0.9676  1 Fe 2.67
Pb 0.5000 0.5550 0.7651  2 Fe 2.82, 7 Sc 3.01-3.08
Fe 0.0000 0.7135 0.4482  5 Sc 2.67-2.88, 2 Pb 2.82

## Properties
The energy relative to the elements comes out at -0.09 eV/atom. The value obtained for the total energy is -0.231 Ha/atom.